[1]
Here is an optimized crystal structure of Ac2VCdO6 from Alexandria. Energies are from PBE with a Hubbard U.

It has space group P2_1/c (No. 14), with a = 5.787 Å, b = 5.993 Å, c = 10.062 Å, α = 90.00°, β = 124.42° and γ = 90.00°. The distinct sites, in fractional coordinates, are Ac at (0.240, 0.051, 0.249), V at (0.000, 0.000, 0.500), Cd at (0.500, 0.000, 0.000), O at (0.129, 0.222, 0.944), O at (0.227, 0.679, 0.958) and O at (0.325, 0.036, 0.732).

The calculation puts the total magnetization at 2.0 μB/cell. The density is 8.2 g/cm3. As for the crystal system: monoclinic. For the uncorrected energy, the calculation gives -7.190 eV per atom.

[2]
Here is an optimized crystal structure of Ac2CdWO8 from Alexandria. Energies are from PBE with a Hubbard U.

It has space group P-1 (No. 2), with a = 4.285 Å, b = 5.727 Å, c = 7.708 Å, α = 82.73°, β = 83.45° and γ = 85.96°. The distinct sites, in fractional coordinates, are Ac at (0.163, 0.494, 0.235), Cd at (0.500, 0.000, 0.000), W at (0.500, 0.000, 0.500), O at (0.181, 0.254, 0.546), O at (0.267, 0.911, 0.312), O at (0.279, 0.331, 0.947) and O at (0.320, 0.770, 0.679).

The calculation puts the total magnetization at 2.1 μB/cell. The density is 7.8 g/cm3. As for the crystal system: triclinic. For the uncorrected energy, the calculation gives -6.805 eV per atom.

[3]
Here is an optimized crystal structure of Ac2CdWO6 from Alexandria. Energies are from PBE with a Hubbard U.

It has space group P2_1/c (No. 14), with a = 5.910 Å, b = 6.145 Å, c = 10.216 Å, α = 90.00°, β = 124.91° and γ = 90.00°. The distinct sites, in fractional coordinates, are Ac at (0.231, 0.057, 0.248), Cd at (0.000, 0.000, 0.500), W at (0.500, 0.000, 0.000), O at (0.152, 0.188, 0.948), O at (0.263, 0.720, 0.940) and O at (0.373, 0.040, 0.766).

The calculation puts the total magnetization at 4.0 μB/cell. The density is 9.2 g/cm3. As for the crystal system: monoclinic. For the uncorrected energy, the calculation gives -7.143 eV per atom.

Which of these has the highest uncorrected energy?
Ac2CdWO8